The following is a DFT calculation (PBE with a Hubbard U) of crystalline LiCo2TeO6 at its relaxed geometry.

As for the density of states at the Fermi level: 0.00 states/eV per atom. The total energy comes out at -5.6555 eV/atom.

The structure belongs to space group R3 (No. 146, hexagonal axes); the cell edges are 5.1216, 5.1216 and 13.6726 Å and the angles 90.00°, 90.00° and 120.00°. Symmetry generates all atoms from Li at (0.0000, 0.0000, 0.0000), Co at (0.0000, 0.0000, 0.2953), Co at (0.0000, 0.0000, 0.7850), Te at (0.0000, 0.0000, 0.4912), O at (0.0015, 0.7180, 0.3899) and O at (0.0018, 0.3255, 0.8889).